# 1
# Ba2SrGeBr

A relaxed structure of Ba2SrGeBr (PBE, the Alexandria database).

The structure in POSCAR format:
```
Ba2SrGeBr
1.0
-3.927 3.493 -3.813
1.088 -3.844 -4.641
-5.041 -3.654 1.845
Sr Ge Ba Br
1 1 2 1
Cartesian
-3.940 -2.002 -3.305
0.000 0.000 0.000
-1.963 1.747 -1.907
-2.521 -1.827 0.922
0.544 -1.922 -2.321
```

- Symmetry: No. 123
- E_tot: -2.527 eV/atom
- Raw formation energy: -0.16 eV per atom


# 2
# Hg3Os2

A relaxed structure of Hg3Os2 (PBE, the Alexandria database).

The structure in POSCAR format:
```
Hg3Os2
1.0
2.781 3.466 1.743
-4.068 1.104 -2.240
-2.704 -0.241 4.794
Hg Os
3 2
Cartesian
0.000 0.000 0.000
-0.854 2.558 2.813
-3.137 1.770 1.485
-1.785 1.891 -0.912
0.498 2.679 0.416
```

- Symmetry: No. 191
- E_tot: -3.845 eV/atom
- Formation enthalpy at 0 K: 828 meV per atom


# 3
# In2RePbW

A relaxed structure of In2RePbW (PBE, the Alexandria database).

The structure in POSCAR format:
```
In2RePbW
1.0
-3.684 -3.005 2.527
-0.432 -2.968 -4.160
3.900 -3.201 1.879
Pb In W Re
1 2 1 1
Cartesian
0.000 0.000 0.000
1.950 -1.601 0.939
-1.842 -1.502 1.263
-0.108 -4.587 0.123
-0.216 -1.484 -2.080
```

- Symmetry: No. 123
- E_tot: -4.173 eV/atom
- Formation enthalpy at 0 K: 2744 meV per atom